1.
FeTe2Rh: relaxed, GGA-PBE.

The value obtained for the density of states at the Fermi level is 14.396 states/eV/cell. As for the total magnetization: 6.15 Bohr magnetons per cell. Its formation energy without anion corrections is 0.29 eV/atom.

The structure belongs to space group R-3m (No. 166, hexagonal axes); the cell edges are 3.4453, 3.4453 and 25.0152 Å and the angles 90.00°, 90.00° and 120.00°. The asymmetric unit holds Fe at (0.0000, 0.0000, 0.0000), Te at (0.0000, 0.0000, 0.3989) and Rh at (0.0000, 0.0000, 0.5000).

---

2.
Pm6Sb3C: relaxed, GGA-PBE.

The value obtained for the density of states at the Fermi level is 35.983 states/eV/cell. As for the total magnetization: 8.25 Bohr magnetons per cell. Its formation energy without anion corrections is -0.61 eV/atom.

The structure belongs to space group Cmc2_1 (No. 36); the cell edges are 12.223, 14.637 and 7.270 Å and the angles 90.00°, 90.00° and 90.00°. The asymmetric unit holds Pm at (0.000, 0.045, 0.000), Pm at (0.000, 0.223, 0.453), Pm at (0.153, 0.260, 0.992), Pm at (0.160, 0.469, 0.467), Sb at (0.000, 0.389, 0.761), Sb at (0.174, 0.102, 0.680) and C at (0.000, 0.191, 0.133).

---

3.
ZnRu4W: relaxed, GGA-PBE.

The calculation puts the formation energy at 396 meV per atom. The value obtained for the density of states at the Fermi level is 28.783 states/eV/cell. As for the total magnetization: 0.00 Bohr magnetons per cell.

The structure belongs to space group F-43m (No. 216); the cell edges are 7.142, 7.142 and 7.142 Å and the angles 90.00°, 90.00° and 90.00°. The asymmetric unit holds Zn at (0.000, 0.000, 0.000), Ru at (0.126, 0.126, 0.626) and W at (0.250, 0.250, 0.250).

---

4.
Pm6HoSi4: relaxed, GGA-PBE.

The value obtained for the density of states at the Fermi level is 12.128 states/eV/cell. As for the total magnetization: 0.00 Bohr magnetons per cell. Its formation energy without anion corrections is -0.43 eV/atom.

The structure belongs to space group P-6m2 (No. 187); the cell edges are 9.2327, 9.2327 and 4.0343 Å and the angles 90.00°, 90.00° and 120.00°. The asymmetric unit holds Pm at (0.1952, 0.3904, 0.0000), Pm at (0.5408, 0.0817, 0.5000), Ho at (0.0000, 0.0000, 0.5000), Si at (0.3246, 0.1623, 0.0000) and Si at (0.3333, 0.6667, 0.5000).

---

5.
NbCu2AsBr: relaxed, GGA-PBE.

The value obtained for the density of states at the Fermi level is 6.424 states/eV/cell. As for the total magnetization: 0.37 Bohr magnetons per cell. Its formation energy without anion corrections is 1.01 eV/atom.

The structure belongs to space group P4/mmm (No. 123); the cell edges are 5.043, 5.043 and 4.929 Å and the angles 90.00°, 90.00° and 90.00°. The asymmetric unit holds Nb at (0.000, 0.000, 0.000), Cu at (0.000, 0.500, 0.000), As at (0.000, 0.000, 0.500) and Br at (0.500, 0.500, 0.500).

---

6.
ErCo4Ag: relaxed, GGA-PBE.

The calculation puts the formation energy at -73 meV per atom. The value obtained for the density of states at the Fermi level is 26.271 states/eV/cell. As for the total magnetization: 23.63 Bohr magnetons per cell.

The structure belongs to space group F-43m (No. 216); the cell edges are 7.004, 7.004 and 7.004 Å and the angles 90.00°, 90.00° and 90.00°. The asymmetric unit holds Er at (0.000, 0.000, 0.000), Co at (0.125, 0.125, 0.375) and Ag at (0.250, 0.250, 0.750).

---

7.
La5ThTl4: relaxed, GGA-PBE.

The calculation puts the formation energy at -340 meV per atom. The value obtained for the density of states at the Fermi level is 7.080 states/eV/cell. As for the total magnetization: 0.00 Bohr magnetons per cell.

The structure belongs to space group P4/mmm (No. 123); the cell edges are 3.703, 3.703 and 23.083 Å and the angles 90.00°, 90.00° and 90.00°. The asymmetric unit holds La at (0.000, 0.000, 0.000), La at (0.000, 0.000, 0.197), La at (0.000, 0.000, 0.394), Th at (0.500, 0.500, 0.500), Tl at (0.500, 0.500, 0.098) and Tl at (0.500, 0.500, 0.295).

---

8.
CePaZn17: relaxed, GGA-PBE.

The calculation puts the formation energy at -167 meV per atom. The value obtained for the density of states at the Fermi level is 41.523 states/eV/cell. As for the total magnetization: 4.76 Bohr magnetons per cell.

The structure belongs to space group R3m (No. 160, hexagonal axes); the cell edges are 8.9988, 8.9988 and 13.1965 Å and the angles 90.00°, 90.00° and 120.00°. The asymmetric unit holds Ce at (0.0000, 0.0000, 0.0000), Pa at (0.0000, 0.0000, 0.3251), Zn at (0.0000, 0.0000, 0.5607), Zn at (0.0000, 0.0000, 0.7615), Zn at (0.9996, 0.4998, 0.1623), Zn at (0.0056, 0.5028, 0.8141), Zn at (0.0382, 0.3708, 0.3290) and Zn at (0.1724, 0.3448, 0.8440).